Below is a relaxed structure of Na8Tl6Hg, with properties calculated at the PBE level.

Cell lengths 8.451, 8.451, 8.451 Å; angles 61.99, 61.99, 61.99 degrees
Fractional positions:
1 Tl 0.509 0.701 0.958
2 Hg 0.000 0.000 0.000
3 Tl 0.701 0.958 0.509
4 Na 0.590 0.590 0.590
5 Tl 0.958 0.509 0.701
6 Na 0.842 0.143 0.666
7 Na 0.334 0.158 0.857
8 Na 0.666 0.842 0.143
9 Na 0.143 0.666 0.842
10 Tl 0.042 0.491 0.299
11 Na 0.410 0.410 0.410
12 Na 0.857 0.334 0.158
13 Na 0.158 0.857 0.334
14 Tl 0.299 0.042 0.491
15 Tl 0.491 0.299 0.042

Summary:
E: -26.22 eV/f.u.
Energy above the most stable polymorph in this dataset: 0.000 eV per atom
Density: 6.00 g cm⁻³
Symmetry: R-3, No. 148
Crystal system: trigonal
DOS at the Fermi energy: 6.6 states/eV per cell



Below is a relaxed structure of NaTl6Hg4, with properties calculated at the PBE level.

Cell lengths 6.365, 6.365, 9.396 Å; angles 107.53, 107.55, 100.10 degrees
Fractional positions:
1 Tl 0.988 0.490 0.979
2 Tl 0.012 0.607 0.638
3 Tl 0.415 0.415 0.363
4 Hg 0.419 0.869 0.268
5 Tl 0.967 0.967 0.368
6 Hg 0.549 0.549 0.740
7 Tl 0.608 0.012 0.639
8 Na 0.005 0.005 0.010
9 Hg 0.179 0.179 0.748
10 Hg 0.869 0.419 0.267
11 Tl 0.490 0.987 0.979

Summary:
E: -16.92 eV/f.u.
Density: 10.30 g cm⁻³
Symmetry: Cm, No. 8
Crystal system: monoclinic
DOS at the Fermi energy: 3.9 states/eV per cell



Below is a relaxed structure of Na2TlHg2, with properties calculated at the PBE level.

Cell lengths 5.181, 6.265, 9.608 Å; angles 104.98, 90.00, 114.43 degrees
Fractional positions:
1 Hg 0.632 0.265 0.581
2 Hg 0.455 0.911 0.136
3 Na 0.164 0.328 0.048
4 Tl 0.265 0.531 0.709
5 Na 0.052 0.103 0.353
6 Hg 0.545 0.089 0.864
7 Tl 0.735 0.469 0.291
8 Hg 0.368 0.735 0.419
9 Na 0.948 0.897 0.647
10 Na 0.836 0.672 0.952

Summary:
E: -6.48 eV/f.u.
Energy above the most stable polymorph in this dataset: 0.012 eV per atom
Density: 7.95 g cm⁻³
Symmetry: C2/m, No. 12
Crystal system: monoclinic
DOS at the Fermi energy: 3.5 states/eV per cell



Below is a relaxed structure of NaTl2Hg7, with properties calculated at the PBE level.

Cell lengths 5.343, 5.343, 12.309 Å; angles 90.00, 90.00, 120.00 degrees
Fractional positions:
1 Hg 0.000 0.000 0.266
2 Tl 0.333 0.667 0.666
3 Hg 0.000 0.000 0.751
4 Hg 0.667 0.333 0.114
5 Hg 0.667 0.333 0.868
6 Na 0.000 0.000 0.011
7 Tl 0.667 0.333 0.366
8 Hg 0.667 0.333 0.612
9 Hg 0.333 0.667 0.960
10 Hg 0.333 0.667 0.403

Summary:
E: -8.55 eV/f.u.
Energy above the most stable polymorph in this dataset: 0.017 eV per atom
Density: 10.02 g cm⁻³
Symmetry: P3m1, No. 156
Crystal system: trigonal
DOS at the Fermi energy: 2.9 states/eV per cell